Below is a relaxed LaTm2C crystal, with properties calculated at the GGA-PBE level.

a b c (Å): 3.559 3.559 9.240
angles (deg): 89.99 90.00 120.00
Fractional coordinates of all 4 atoms:
C: 0.000 0.000 0.500
La: 0.000 0.000 0.000
Tm: 0.333 0.667 0.643
Tm: 0.667 0.333 0.357

SG	P-3m1 (164)
ρ	8.007	g/cm3
energy of formation	-0.230	eV/atom
relative energy among the computed polymorphs	0.0	meV per atom